# Mn2Cr2S5

A relaxed structure of Mn2Cr2S5 (GGA-PBE, Alexandria).

The structure in POSCAR format:
```
Mn2Cr2S5
1.0
3.626 0.000 0.000
-1.813 3.140 0.000
0.000 0.000 15.676
Mn Cr S
2 2 5
Direct
0.333 0.667 0.175 Mn
0.667 0.333 0.825 Mn
0.333 0.667 0.598 Cr
0.667 0.333 0.402 Cr
0.000 0.000 0.500 S
0.333 0.667 0.329 S
0.333 0.667 0.886 S
0.667 0.333 0.114 S
0.667 0.333 0.671 S
```

## Properties
VASP energy   -6.980 eV/atom
Formation energy without anion corrections   -0.511 eV/atom
Volume   179 Å³ per cell
M_tot   2.17 Bohr magnetons per cell
Space group   P-3m1